# 1
DFT (PBE) results for a geometry-optimized NaThSeS structure.

Cell and atoms, written as POSCAR:
```
NaThSeS
1.0
-3.089 -2.509 0.517
3.338 -0.449 2.183
-1.849 6.339 4.134
Th Se Na S
1 1 1 1
Direct
0.465 0.130 0.610 Th
0.301 0.548 0.864 Se
0.135 0.965 0.116 Na
0.978 0.387 0.379 S
```

Calculated values
The density comes out at 5.9 g/cm³. For the uncorrected formation energy, the calculation gives -1.543 eV/atom.

---

# 2
DFT (PBE) results for a geometry-optimized Ca2O2F5 structure.

Cell and atoms, written as POSCAR:
```
Ca2O2F5
1.0
4.558 0.111 0.312
-0.193 4.102 1.359
-0.569 -0.269 7.617
O F Ca
2 5 2
Direct
0.501 0.459 0.081 O
0.499 0.541 0.919 O
0.000 0.000 0.000 F
0.004 0.311 0.379 F
0.503 0.875 0.251 F
0.996 0.689 0.621 F
0.497 0.125 0.749 F
0.996 0.150 0.701 Ca
0.004 0.850 0.299 Ca
```

Calculated values
The density comes out at 2.4 g/cm³. For the uncorrected formation energy, the calculation gives -2.574 eV/atom.

---

# 3
DFT (PBE) results for a geometry-optimized Mn2CuPd5Au2 structure.

Cell and atoms, written as POSCAR:
```
Mn2CuPd5Au2
1.0
-0.309 0.108 -3.914
-5.112 -7.529 0.197
-7.497 5.110 0.733
Mn Au Pd Cu
4 4 10 2
Direct
0.000 0.369 0.131 Mn
0.000 0.131 0.631 Mn
0.000 0.631 0.869 Mn
0.000 0.869 0.369 Mn
0.000 0.165 0.335 Au
0.000 0.835 0.665 Au
0.000 0.665 0.165 Au
0.000 0.335 0.835 Au
0.500 0.000 0.500 Pd
0.500 0.587 0.691 Pd
0.500 0.691 0.413 Pd
0.500 0.413 0.309 Pd
0.500 0.087 0.809 Pd
0.500 0.500 0.000 Pd
0.500 0.309 0.587 Pd
0.500 0.809 0.913 Pd
0.500 0.191 0.087 Pd
0.500 0.913 0.191 Pd
0.000 0.500 0.500 Cu
0.000 0.000 0.000 Cu
```

Calculated values
The calculation puts the calculated total energy at -110.1 eV/cell. The density comes out at 11.2 g/cm³.

---

# 4
DFT (PBE) results for a geometry-optimized Cu4AsBr structure.

Cell and atoms, written as POSCAR:
```
Cu4AsBr
1.0
4.288 -1.213 2.417
1.094 2.155 4.457
-0.180 -2.748 4.256
Cu As Br
4 1 1
Direct
0.376 0.376 0.376 Cu
0.376 0.873 0.376 Cu
0.376 0.376 0.873 Cu
0.873 0.376 0.376 Cu
0.750 0.750 0.750 As
0.000 0.000 0.000 Br
```

Calculated values
The density comes out at 7.4 g/cm³. For the uncorrected formation energy, the calculation gives 0.395 eV/atom.